No. 1
A crystal of SbAsSe relaxed with PBEsol, computed with meta-GGA SCAN.

The structure in POSCAR format:
```
SbAsSe
1.0
-1.2346 -4.2833 -1.5806
2.6800 -2.1956 -3.2196
2.5390 -3.7964 1.2286
Sb As Se
1 1 1
Direct
0.5000 0.5000 0.5000 Sb
0.0000 0.0000 0.0000 As
0.2500 0.2500 0.2500 Se
```

Values from the calculation:
ΔE_f (raw): 0.636 eV/atom
Volume: 24.9 A^3/atom
Total DFT energy (no corrections): -25.21 eV per atom
E above lowest polymorph: 369 meV/atom
M_tot: 0.00 Bohr magnetons per cell

***

No. 2
A crystal of SnSbAs2Se relaxed with PBEsol, computed with meta-GGA SCAN.

The structure in POSCAR format:
```
SnSbAs2Se
1.0
-1.9818 2.1779 4.2657
-4.7028 -1.7592 -1.2867
0.9152 -4.4008 2.6720
Sb As Sn Se
1 2 1 1
Direct
0.0000 0.0000 0.0000 Sb
0.0000 0.5000 0.0000 As
0.5000 0.0000 0.0000 As
0.5000 0.5000 0.5000 Sn
0.0000 0.0000 0.5000 Se
```

Values from the calculation:
ΔE_f (raw): 0.736 eV/atom
Volume: 28.1 A^3/atom
Total DFT energy (no corrections): -25.99 eV per atom
M_tot: 0.00 Bohr magnetons per cell

***

No. 3
A crystal of TcSbAsSe2 relaxed with PBEsol, computed with meta-GGA SCAN.

The structure in POSCAR format:
```
TcSbAsSe2
1.0
5.1850 0.0000 0.0000
0.0000 5.1850 0.0000
0.0000 0.0000 5.1493
Sb As Tc Se
1 1 1 2
Direct
0.0000 0.0000 0.0000 Sb
0.0000 0.0000 0.5000 As
0.5000 0.5000 0.5000 Tc
0.0000 0.5000 0.0000 Se
0.5000 0.0000 0.0000 Se
```

Values from the calculation:
ΔE_f (raw): 1.204 eV/atom
Volume: 27.7 A^3/atom
Total DFT energy (no corrections): -25.33 eV per atom
M_tot: 3.97 Bohr magnetons per cell